No. 1
VASP calculation (PBE-GGA) on a relaxed structure of AlCr3Rh4.

Cell: 7.690 7.690 7.690 Å, 150.90 150.90 41.62°
Positions (direct):
Al  0.000  0.000  0.000
Cr  0.247  0.247  0.000
Cr  0.500  0.500  0.000
Cr  0.753  0.753  0.000
Rh  0.128  0.628  0.500
Rh  0.372  0.872  0.500
Rh  0.628  0.128  0.500
Rh  0.872  0.372  0.500

Results
For the total energy, the calculation gives -8.009 eV/atom. The value obtained for the density of states at the Fermi level is 0.859 states/eV per atom. As for the crystal system: tetragonal. The energy of formation from the pure elements comes out at -257 meV/atom.

=====

No. 2
VASP calculation (PBE-GGA) on a relaxed structure of Zn2CdAs.

Cell: 6.266 6.266 6.266 Å, 154.11 134.09 53.46°
Positions (direct):
Zn  0.000  0.000  0.000
Zn  0.783  0.283  0.500
Cd  0.487  0.487  0.000
As  0.214  0.714  0.500

Results
The calculation puts the energy above the most stable polymorph in this dataset at 25.0 kJ/mol of formula units. For the total energy, the calculation gives -1.888 eV/atom. The value obtained for the density of states at the Fermi level is 0.270 states/eV per atom. As for the crystal system: orthorhombic. The energy of formation from the pure elements comes out at 140 meV/atom.

=====

No. 3
VASP calculation (PBE-GGA) on a relaxed structure of TlSi2Au.

Cell: 4.075 4.282 5.430 Å, 90.00 97.70 90.00°
Positions (direct):
Tl  0.000  0.000  0.000
Si  0.258  0.500  0.633
Si  0.742  0.500  0.367
Au  0.500  0.000  0.500

Results
The calculation puts the energy above the most stable polymorph in this dataset at 4.6 kJ/mol of formula units. For the total energy, the calculation gives -3.940 eV/atom. The value obtained for the density of states at the Fermi level is 0.334 states/eV per atom. As for the crystal system: monoclinic.

=====

No. 4
VASP calculation (PBE-GGA) on a relaxed structure of Ti2Ni2Se.

Cell: 5.658 5.658 5.658 Å, 137.58 137.58 61.55°
Positions (direct):
Ti  0.250  0.750  0.500
Ti  0.750  0.250  0.500
Ni  0.115  0.115  0.000
Ni  0.885  0.885  0.000
Se  0.500  0.500  0.000

Results
The calculation puts the energy above the most stable polymorph in this dataset at 151.1 kJ/mol of formula units. For the total energy, the calculation gives -6.226 eV/atom. The value obtained for the density of states at the Fermi level is 1.211 states/eV per atom. As for the crystal system: tetragonal.

=====

No. 5
VASP calculation (PBE-GGA) on a relaxed structure of TcNiPb.

Cell: 5.607 5.607 5.607 Å, 147.52 147.52 46.60°
Positions (direct):
Tc  0.000  0.000  0.000
Ni  0.379  0.379  0.000
Pb  0.699  0.699  0.000

Results
The calculation puts the energy above the most stable polymorph in this dataset at 0.0 kJ/mol of formula units. For the total energy, the calculation gives -6.067 eV/atom. The value obtained for the density of states at the Fermi level is 1.397 states/eV per atom. As for the crystal system: tetragonal. The energy of formation from the pure elements comes out at 551 meV/atom.

=====

No. 6
VASP calculation (PBE-GGA) on a relaxed structure of LaOsW2.

Cell: 2.867 2.867 9.637 Å, 90.00 90.00 112.36°
Positions (direct):
La  0.000  0.000  0.000
Os  0.500  0.500  0.730
W  0.000  0.000  0.512
W  0.500  0.500  0.290

Results
The calculation puts the energy above the most stable polymorph in this dataset at 40.9 kJ/mol of formula units. For the total energy, the calculation gives -10.017 eV/atom. The value obtained for the density of states at the Fermi level is 0.914 states/eV per atom. As for the crystal system: orthorhombic. The energy of formation from the pure elements comes out at 499 meV/atom.

=====

No. 7
VASP calculation (PBE-GGA) on a relaxed structure of V2Fe2Ag.

Cell: 6.872 6.872 2.759 Å, 90.00 90.00 90.00°
Positions (direct):
V  0.155  0.345  0.000
V  0.345  0.845  0.000
V  0.655  0.155  0.000
V  0.845  0.655  0.000
Fe  0.136  0.636  0.500
Fe  0.364  0.136  0.500
Fe  0.636  0.864  0.500
Fe  0.864  0.364  0.500
Ag  0.000  0.000  0.500
Ag  0.500  0.500  0.500

Results
The calculation puts the energy above the most stable polymorph in this dataset at 0.0 kJ/mol of formula units. For the total energy, the calculation gives -7.489 eV/atom. The value obtained for the density of states at the Fermi level is 0.633 states/eV per atom. As for the crystal system: tetragonal. The energy of formation from the pure elements comes out at 113 meV/atom.

=====

No. 8
VASP calculation (PBE-GGA) on a relaxed structure of HfSbAsSe2.

Cell: 5.158 5.158 5.174 Å, 90.00 90.00 90.00°
Positions (direct):
Hf  0.000  0.000  0.000
Sb  0.500  0.500  0.500
As  0.500  0.500  0.000
Se  0.000  0.500  0.500
Se  0.500  0.000  0.500

Results
The calculation puts the energy above the most stable polymorph in this dataset at 382.8 kJ/mol of formula units. For the total energy, the calculation gives -4.416 eV/atom. The value obtained for the density of states at the Fermi level is 0.764 states/eV per atom. As for the crystal system: tetragonal.

=====

No. 9
VASP calculation (PBE-GGA) on a relaxed structure of Zn12CoCu6.

Cell: 6.513 6.513 6.513 Å, 86.70 86.70 86.70°
Positions (direct):
Zn  0.044  0.763  0.717
Zn  0.199  0.521  0.444
Zn  0.237  0.283  0.956
Zn  0.283  0.956  0.237
Zn  0.444  0.199  0.521
Zn  0.479  0.556  0.801
Zn  0.521  0.444  0.199
Zn  0.556  0.801  0.479
Zn  0.717  0.044  0.763
Zn  0.763  0.717  0.044
Zn  0.801  0.479  0.556
Zn  0.956  0.237  0.283
Co  0.000  0.000  0.000
Cu  0.063  0.176  0.643
Cu  0.176  0.643  0.063
Cu  0.357  0.937  0.824
Cu  0.643  0.063  0.176
Cu  0.824  0.357  0.937
Cu  0.937  0.824  0.357

Results
For the total energy, the calculation gives -2.460 eV/atom. The value obtained for the density of states at the Fermi level is 0.444 states/eV per atom. As for the crystal system: trigonal. The energy of formation from the pure elements comes out at 12 meV/atom.

=====

No. 10
VASP calculation (PBE-GGA) on a relaxed structure of TeWI2N.

Cell: 5.639 5.639 5.199 Å, 90.00 90.00 90.00°
Positions (direct):
Te  0.000  0.000  0.000
W  0.000  0.000  0.500
I  0.000  0.500  0.500
I  0.500  0.000  0.500
N  0.500  0.500  0.000

Results
The calculation puts the energy above the most stable polymorph in this dataset at 513.1 kJ/mol of formula units. For the total energy, the calculation gives -3.891 eV/atom. The value obtained for the density of states at the Fermi level is 0.941 states/eV per atom. As for the crystal system: tetragonal.

=====

No. 11
VASP calculation (PBE-GGA) on a relaxed structure of KNa2OsO6.

Cell: 5.811 6.172 10.251 Å, 90.00 123.74 90.00°
Positions (direct):
K  0.000  0.000  0.000
K  0.000  0.500  0.500
Na  0.226  0.029  0.720
Na  0.226  0.471  0.220
Na  0.774  0.529  0.780
Na  0.774  0.971  0.280
Os  0.500  0.000  0.500
Os  0.500  0.500  0.000
O  0.194  0.136  0.474
O  0.194  0.364  0.974
O  0.280  0.742  0.892
O  0.280  0.758  0.392
O  0.419  0.119  0.311
O  0.419  0.381  0.811
O  0.581  0.619  0.189
O  0.581  0.881  0.689
O  0.720  0.242  0.608
O  0.720  0.258  0.108
O  0.806  0.636  0.026
O  0.806  0.864  0.526

Results
For the total energy, the calculation gives -5.656 eV/atom. The value obtained for the density of states at the Fermi level is 0.833 states/eV per atom. As for the crystal system: monoclinic.

=====

> What is the total energy in the first record?

-8.009 eV/atom

=====

Copy entry 11 word for word.
VASP calculation (PBE-GGA) on a relaxed structure of KNa2OsO6.

Cell: 5.811 6.172 10.251 Å, 90.00 123.74 90.00°
Positions (direct):
K  0.000  0.000  0.000
K  0.000  0.500  0.500
Na  0.226  0.029  0.720
Na  0.226  0.471  0.220
Na  0.774  0.529  0.780
Na  0.774  0.971  0.280
Os  0.500  0.000  0.500
Os  0.500  0.500  0.000
O  0.194  0.136  0.474
O  0.194  0.364  0.974
O  0.280  0.742  0.892
O  0.280  0.758  0.392
O  0.419  0.119  0.311
O  0.419  0.381  0.811
O  0.581  0.619  0.189
O  0.581  0.881  0.689
O  0.720  0.242  0.608
O  0.720  0.258  0.108
O  0.806  0.636  0.026
O  0.806  0.864  0.526

Results
For the total energy, the calculation gives -5.656 eV/atom. The value obtained for the density of states at the Fermi level is 0.833 states/eV per atom. As for the crystal system: monoclinic.

=====

> Which formula does entry 10 have?

TeWI2N